*w*
Entry from Alexandria: an optimized crystal structure of NdDy4Er7 (PBE).

abc: 6.1700 7.1283 8.7730
angles: 90.01 103.72 90.10
Atoms (fractional coordinates):
Nd  0.0000  0.0000  0.0000
Dy  0.2214  0.4997  0.6659
Dy  0.2794  0.7497  0.3352
Dy  0.7206  0.2503  0.6648
Dy  0.7786  0.5003  0.3341
Er  0.0000  0.5000  0.0000
Er  0.2217  0.9997  0.6656
Er  0.2789  0.2510  0.3347
Er  0.4999  0.2501  0.0002
Er  0.5001  0.7499  0.9998
Er  0.7211  0.7490  0.6653
Er  0.7783  0.0003  0.3344

*x*
Entry from Alexandria: an optimized crystal structure of NdDy4Er7 (PBE).

abc: 6.6805 6.6805 12.5620
angles: 114.95 114.95 51.70
Atoms (fractional coordinates):
Nd  0.0000  0.0000  0.0000
Dy  0.2480  0.2480  0.6824
Dy  0.3676  0.3676  0.2253
Dy  0.6324  0.6324  0.7747
Dy  0.7520  0.7520  0.3176
Er  0.0596  0.0596  0.3289
Er  0.2111  0.2111  0.9227
Er  0.3652  0.3652  0.4970
Er  0.5000  0.5000  0.0000
Er  0.6348  0.6348  0.5030
Er  0.7889  0.7889  0.0773
Er  0.9404  0.9404  0.6711

What is the stability order? It is *w*, *x*, from most stable to least stable.

*w*
Entry from Alexandria: an optimized crystal structure of Nd2Dy5Er (PBE).

abc: 9.5115 9.5115 6.5867
angles: 98.67 98.67 62.60
Atoms (fractional coordinates):
Nd  0.1632  0.6744  0.8763
Nd  0.3256  0.8368  0.6237
Nd  0.6744  0.1632  0.3763
Nd  0.8368  0.3256  0.1237
Dy  0.0101  0.1904  0.6493
Dy  0.1904  0.0101  0.1493
Dy  0.2134  0.3864  0.4706
Dy  0.3864  0.2134  0.9706
Dy  0.4405  0.5595  0.2500
Dy  0.5595  0.4405  0.7500
Dy  0.6136  0.7866  0.0294
Dy  0.7866  0.6136  0.5294
Dy  0.8096  0.9899  0.8507
Dy  0.9899  0.8096  0.3507
Er  0.0000  0.5000  0.0000
Er  0.5000  0.0000  0.5000

*x*
Entry from Alexandria: an optimized crystal structure of Nd2Dy5Er (PBE).

abc: 7.1452 14.2906 5.0447
angles: 90.00 90.00 90.00
Atoms (fractional coordinates):
Nd  0.2505  0.1248  0.0000
Nd  0.2495  0.6248  0.0000
Nd  0.7505  0.3752  0.0000
Nd  0.7495  0.8752  0.0000
Dy  0.0000  0.0000  0.5000
Dy  0.0005  0.2501  0.5000
Dy  0.9995  0.7499  0.5000
Dy  0.2495  0.8750  0.0000
Dy  0.2505  0.3750  0.0000
Dy  0.5005  0.2499  0.5000
Dy  0.5000  0.5000  0.5000
Dy  0.4995  0.7501  0.5000
Dy  0.7495  0.6250  0.0000
Dy  0.7505  0.1250  0.0000
Er  0.0000  0.5000  0.5000
Er  0.5000  0.0000  0.5000

What is the stability order? It is *x*, *w*, from most stable to least stable.

*w*
Entry from Alexandria: an optimized crystal structure of Nd6Dy3Er2 (PBE).

abc: 17.2598 17.2598 17.2598
angles: 164.12 164.12 22.53
Atoms (fractional coordinates):
Nd  0.1197  0.6197  0.5000
Nd  0.2037  0.2037  0.0000
Nd  0.3803  0.8803  0.5000
Nd  0.6197  0.1197  0.5000
Nd  0.7963  0.7963  0.0000
Nd  0.8803  0.3803  0.5000
Dy  0.3048  0.3048  0.0000
Dy  0.5000  0.5000  0.0000
Dy  0.6952  0.6952  0.0000
Er  0.0450  0.0450  0.0000
Er  0.9550  0.9550  0.0000

*x*
Entry from Alexandria: an optimized crystal structure of Nd6Dy3Er2 (PBE).

abc: 6.1426 6.7941 9.8594
angles: 89.14 89.07 64.21
Atoms (fractional coordinates):
Nd  0.1001  0.3921  0.3175
Nd  0.2113  0.2261  0.9531
Nd  0.2487  0.8526  0.2256
Nd  0.7513  0.1474  0.7744
Nd  0.7887  0.7739  0.0469
Nd  0.8999  0.6079  0.6825
Dy  0.3427  0.6794  0.8669
Dy  0.5000  0.5000  0.5000
Dy  0.6573  0.3206  0.1331
Er  0.2701  0.0484  0.6022
Er  0.7299  0.9516  0.3978

What is the stability order? It is *x*, *w*, from most stable to least stable.

*w*
Entry from Alexandria: an optimized crystal structure of Nd5DyEr3 (PBE).

abc: 10.5239 10.5239 11.7310
angles: 121.21 121.21 34.84
Atoms (fractional coordinates):
Nd  0.0319  0.6913  0.3401
Nd  0.0962  0.9038  0.7500
Nd  0.1449  0.4949  0.6689
Nd  0.3087  0.9681  0.1599
Nd  0.4949  0.1449  0.1689
Nd  0.5051  0.8551  0.8311
Nd  0.6913  0.0319  0.8401
Nd  0.8551  0.5051  0.3311
Nd  0.9038  0.0962  0.2500
Nd  0.9681  0.3087  0.6599
Dy  0.3936  0.6064  0.2500
Dy  0.6064  0.3936  0.7500
Er  0.1024  0.5461  0.9735
Er  0.4539  0.8976  0.5265
Er  0.5000  0.5000  0.0000
Er  0.5000  0.5000  0.5000
Er  0.5461  0.1024  0.4735
Er  0.8976  0.4539  0.0265

*x*
Entry from Alexandria: an optimized crystal structure of Nd5DyEr3 (PBE).

abc: 9.7115 9.7115 9.7115
angles: 122.78 122.78 85.24
Atoms (fractional coordinates):
Nd  0.0000  0.0000  0.0000
Nd  0.0690  0.5690  0.9027
Nd  0.1663  0.0690  0.5000
Nd  0.3337  0.8337  0.9027
Nd  0.4310  0.3337  0.5000
Nd  0.5000  0.5000  0.0000
Nd  0.5690  0.6663  0.5000
Nd  0.6663  0.1663  0.0973
Nd  0.8337  0.9310  0.5000
Nd  0.9310  0.4310  0.0973
Dy  0.2500  0.7500  0.5000
Dy  0.7500  0.2500  0.5000
Er  0.1097  0.3903  0.5000
Er  0.2500  0.2500  0.0000
Er  0.3903  0.8903  0.2807
Er  0.6097  0.1097  0.7193
Er  0.7500  0.7500  0.0000
Er  0.8903  0.6097  0.5000

What is the stability order? It is *w*, *x*, from most stable to least stable.